VASP calculation (PBE-GGA) on a relaxed ScTi2Cu2 crystal.

Output
energy above the most stable polymorph in this dataset = 75 meV per atom
calculated volume = 85.5 Å³/f.u.
density of states at the Fermi level = 2.187 states/eV/atom
SG = No. 139
uncorrected energy = -30.0 eV/cell
DFT formation energy = 0.3 eV/f.u.

Unit cell a=6.585 b=6.585 c=6.585 alpha=146.76 beta=146.76 gamma=47.73
Fractional coordinates of all 5 atoms:
1 Sc 0.000 0.000 0.000
2 Ti 0.250 0.750 0.500
3 Ti 0.750 0.250 0.500
4 Cu 0.402 0.402 0.000
5 Cu 0.598 0.598 0.000